# 1
Computed, not measured: an optimized crystal structure of CaMn2Sb at the GGA-PBE level of DFT.

total energy = -5.859 eV/atom
raw formation energy = 0.257 eV per atom
mass density = 5.517 g/cm3
space group = No. 216

Cell lengths 4.872, 4.872, 4.872 Å; angles 60.00, 60.00, 60.00 degrees
Site moments in Bohr magnetons follow the coordinates.
Positions (direct):
Mn 0.750 0.750 0.750  3.68
Sb 0.250 0.250 0.250  -0.01
Ca 0.500 0.500 0.500  -0.04
Mn 0.000 0.000 0.000  3.46

=====

# 2
Computed, not measured: an optimized crystal structure of CaMnSb2 at the GGA-PBE level of DFT.

total energy = -5.257 eV/atom
raw formation energy = -0.403 eV per atom
mass density = 5.600 g/cm3
space group = No. 129

Cell lengths 4.385, 4.385, 10.441 Å; angles 90.00, 90.00, 90.00 degrees
Site moments in Bohr magnetons follow the coordinates.
Positions (direct):
Sb 0.750 0.750 0.850  -0.07
Ca 0.250 0.250 0.739  0.00
Sb 0.250 0.250 0.150  -0.07
Sb 0.250 0.750 0.500  -0.01
Ca 0.750 0.750 0.261  0.00
Mn 0.750 0.250 0.000  3.41
Sb 0.750 0.250 0.500  -0.01
Mn 0.250 0.750 0.000  3.41